No. 1
## PtI3F (GGA-PBE)

Data for a relaxed PtI3F crystal.

POSCAR file:
```
PtI3F
1.0
5.450 0.000 0.000
0.000 5.450 0.000
0.000 0.000 5.450
Pt I F
1 3 1
Direct
0.000 0.000 0.000
0.000 0.000 0.500
0.000 0.500 0.000
0.500 0.000 0.000
0.500 0.500 0.500
```

- space group = Pm-3m, No. 221
- total magnetic moment (μB per formula unit) = 1.22
- E above lowest polymorph (meV/atom) = 0.0


No. 2
## PtI3F (GGA-PBE)

Data for a relaxed PtI3F crystal.

POSCAR file:
```
PtI3F
1.0
5.179 0.000 0.000
0.000 5.179 0.000
0.000 0.000 5.179
Pt I F
1 3 1
Direct
0.000 0.000 0.000
0.000 0.500 0.500
0.500 0.000 0.500
0.500 0.500 0.000
0.500 0.500 0.500
```

- space group = Pm-3m, No. 221
- total magnetic moment (μB per formula unit) = 0.25
- E above lowest polymorph (meV/atom) = 717.3


No. 3
## PtI2F (GGA-PBE)

Data for a relaxed PtI2F crystal.

POSCAR file:
```
PtI2F
1.0
-3.632 3.632 3.810
3.632 -3.632 3.810
3.632 3.632 -3.810
Pt I F
2 4 2
Direct
0.000 0.000 0.000
0.750 0.250 0.500
0.099 0.625 0.974
0.375 0.349 0.474
0.651 0.125 0.026
0.875 0.901 0.526
0.250 0.750 0.500
0.500 0.500 0.000
```

- space group = I-42d, No. 122
- total magnetic moment (μB per formula unit) = 0.00
- E above lowest polymorph (meV/atom) = 0.0


No. 4
## PtIF2 (GGA-PBE)

Data for a relaxed PtIF2 crystal.

POSCAR file:
```
PtIF2
1.0
-1.962 1.962 8.465
1.962 -1.962 8.465
1.962 1.962 -8.465
Pt I F
2 2 4
Direct
0.000 0.000 0.000
0.750 0.250 0.500
0.250 0.750 0.500
0.500 0.500 0.000
0.119 0.625 0.994
0.375 0.369 0.494
0.631 0.125 0.006
0.875 0.881 0.506
```

- space group = I-42d, No. 122
- total magnetic moment (μB per formula unit) = 0.00
- E above lowest polymorph (meV/atom) = 210.5


No. 5
## PtIF2 (GGA-PBE)

Data for a relaxed PtIF2 crystal.

POSCAR file:
```
PtIF2
1.0
0.000 3.131 3.131
3.131 0.000 3.131
3.131 3.131 0.000
Pt I F
1 1 2
Direct
0.000 0.000 0.000
0.500 0.500 0.500
0.250 0.250 0.250
0.750 0.750 0.750
```

- space group = Fm-3m, No. 225
- total magnetic moment (μB per formula unit) = 0.00
- E above lowest polymorph (meV/atom) = 550.3


No. 6
## PtIF2 (GGA-PBE)

Data for a relaxed PtIF2 crystal.

POSCAR file:
```
PtIF2
1.0
1.527 0.882 9.805
-1.527 0.882 9.805
0.000 -1.763 9.805
Pt I F
1 1 2
Direct
0.000 0.000 0.000
0.500 0.500 0.500
0.065 0.065 0.065
0.935 0.935 0.935
```

- space group = R-3m, No. 166
- total magnetic moment (μB per formula unit) = 0.70
- E above lowest polymorph (meV/atom) = 0.0